1.
The following is a DFT calculation (PBE) of a relaxed BaLiZnGe2 crystal.

Calculated values
Formation energy (eV per atom): -0.44
Energy (eV/atom): -3.310

```
data_BaLiZnGe2
_cell_length_a 4.566
_cell_length_b 4.566
_cell_length_c 10.825
_cell_angle_alpha 90.00
_cell_angle_beta 90.00
_cell_angle_gamma 90.00
_symmetry_space_group_name_H-M 'I -4 m 2'
_symmetry_Int_Tables_number 119
_symmetry_space_group_name_Hall 'I -4 -2'
loop_
_atom_site_label
_atom_site_type_symbol
_atom_site_fract_x
_atom_site_fract_y
_atom_site_fract_z
Ba1 Ba 0.000 0.000 0.000
Li1 Li 0.000 0.500 0.250
Zn1 Zn 0.000 0.500 0.750
Ge1 Ge 0.000 0.000 0.381
```



2.
The following is a DFT calculation (PBE) of a relaxed BaMgGe2 crystal.

Calculated values
Energy above the most stable polymorph in this dataset (kJ/mol of atoms): 17.6
Formation energy (eV per atom): -0.28
Energy (eV/atom): -3.464

```
data_BaMgGe2
_cell_length_a 4.500
_cell_length_b 6.474
_cell_length_c 8.432
_cell_angle_alpha 90.00
_cell_angle_beta 90.00
_cell_angle_gamma 90.00
_symmetry_space_group_name_H-M 'A m m 2'
_symmetry_Int_Tables_number 38
_symmetry_space_group_name_Hall 'A 2 -2'
loop_
_atom_site_label
_atom_site_type_symbol
_atom_site_fract_x
_atom_site_fract_y
_atom_site_fract_z
Ba1 Ba 0.000 0.000 0.000
Mg1 Mg 0.500 0.000 0.588
Ge1 Ge 0.500 0.184 0.296
```



3.
The following is a DFT calculation (PBE) of a relaxed BaMgGe2 crystal.

Calculated values
Energy above the most stable polymorph in this dataset (kJ/mol of atoms): 23.3
Formation energy (eV per atom): -0.22
Energy (eV/atom): -3.404

```
data_BaMgGe2
_cell_length_a 5.335
_cell_length_b 5.335
_cell_length_c 17.874
_cell_angle_alpha 90.00
_cell_angle_beta 90.00
_cell_angle_gamma 90.00
_symmetry_space_group_name_H-M 'I -4 2 d'
_symmetry_Int_Tables_number 122
_symmetry_space_group_name_Hall 'I -4 2bw'
loop_
_atom_site_label
_atom_site_type_symbol
_atom_site_fract_x
_atom_site_fract_y
_atom_site_fract_z
Ba1 Ba 0.000 0.000 0.000
Mg1 Mg 0.000 0.000 0.500
Ge1 Ge 0.001 0.250 0.625
```



4.
The following is a DFT calculation (PBE) of a relaxed BaMg6Ge2 crystal.

Calculated values
Formation energy (eV per atom): -0.25
Energy (eV/atom): -2.554

```
data_BaMg6Ge2
_cell_length_a 4.680
_cell_length_b 4.680
_cell_length_c 9.958
_cell_angle_alpha 90.00
_cell_angle_beta 90.00
_cell_angle_gamma 90.00
_symmetry_space_group_name_H-M 'P 4/m m m'
_symmetry_Int_Tables_number 123
_symmetry_space_group_name_Hall '-P 4 2'
loop_
_atom_site_label
_atom_site_type_symbol
_atom_site_fract_x
_atom_site_fract_y
_atom_site_fract_z
Ba1 Ba 0.000 0.000 0.000
Mg1 Mg 0.000 0.000 0.500
Mg2 Mg 0.000 0.500 0.290
Mg3 Mg 0.500 0.500 0.500
Ge1 Ge 0.500 0.500 0.137
```



5.
The following is a DFT calculation (PBE) of a relaxed BaMg4Ge3 crystal.

Calculated values
Formation energy (eV per atom): -0.40
Energy (eV/atom): -3.173

```
data_BaMg4Ge3
_cell_length_a 4.667
_cell_length_b 4.667
_cell_length_c 8.780
_cell_angle_alpha 90.00
_cell_angle_beta 90.00
_cell_angle_gamma 90.00
_symmetry_space_group_name_H-M 'P 4/m m m'
_symmetry_Int_Tables_number 123
_symmetry_space_group_name_Hall '-P 4 2'
loop_
_atom_site_label
_atom_site_type_symbol
_atom_site_fract_x
_atom_site_fract_y
_atom_site_fract_z
Ba1 Ba 0.000 0.000 0.000
Mg1 Mg 0.000 0.500 0.319
Ge1 Ge 0.000 0.000 0.500
Ge2 Ge 0.500 0.500 0.148
```



6.
The following is a DFT calculation (PBE) of a relaxed BaMg4Ge2 crystal.

Calculated values
Formation energy (eV per atom): -0.34
Energy (eV/atom): -2.840

```
data_BaMg4Ge2
_cell_length_a 8.795
_cell_length_b 8.795
_cell_length_c 4.452
_cell_angle_alpha 90.00
_cell_angle_beta 90.00
_cell_angle_gamma 90.00
_symmetry_space_group_name_H-M 'P 42/m n m'
_symmetry_Int_Tables_number 136
_symmetry_space_group_name_Hall '-P 4n 2n'
loop_
_atom_site_label
_atom_site_type_symbol
_atom_site_fract_x
_atom_site_fract_y
_atom_site_fract_z
Ba1 Ba 0.000 0.000 0.000
Mg1 Mg 0.086 0.336 0.500
Ge1 Ge 0.217 0.783 0.500
```



7.
The following is a DFT calculation (PBE) of a relaxed BaMg2Ge2 crystal.

Calculated values
Formation energy (eV per atom): -0.21
Energy (eV/atom): -3.077

```
data_BaMg2Ge2
_cell_length_a 8.544
_cell_length_b 8.544
_cell_length_c 3.249
_cell_angle_alpha 90.00
_cell_angle_beta 90.00
_cell_angle_gamma 90.00
_symmetry_space_group_name_H-M 'P 4/m b m'
_symmetry_Int_Tables_number 127
_symmetry_space_group_name_Hall '-P 4 2ab'
loop_
_atom_site_label
_atom_site_type_symbol
_atom_site_fract_x
_atom_site_fract_y
_atom_site_fract_z
Ba1 Ba 0.000 0.000 0.000
Mg1 Mg 0.123 0.377 0.000
Ge1 Ge 0.165 0.665 0.500
```



8.
The following is a DFT calculation (PBE) of a relaxed Ba2MgGe crystal.

Calculated values
Formation energy (eV per atom): 0.26
Energy (eV/atom): -2.250

```
data_Ba2MgGe
_cell_length_a 6.073
_cell_length_b 6.073
_cell_length_c 20.626
_cell_angle_alpha 90.00
_cell_angle_beta 90.00
_cell_angle_gamma 90.00
_symmetry_space_group_name_H-M 'I -4 2 d'
_symmetry_Int_Tables_number 122
_symmetry_space_group_name_Hall 'I -4 2bw'
loop_
_atom_site_label
_atom_site_type_symbol
_atom_site_fract_x
_atom_site_fract_y
_atom_site_fract_z
Ba1 Ba 0.220 0.250 0.125
Mg1 Mg 0.000 0.000 0.500
Ge1 Ge 0.000 0.000 0.000
```



> Which formula does entry 7 have?

BaMg2Ge2